Record 1
Computed, not measured: a geometry-optimized TbCeRe structure at the PBE level of DFT.

abc: 3.413 3.413 7.088
angles: 103.93 103.93 90.00
Fractional positions:
Tb1 0.037 0.037 0.075
Re1 0.671 0.671 0.341
Ce1 0.292 0.292 0.584

Properties
Space-group type: No. 107

Record 2
Computed, not measured: a geometry-optimized Ni2H2Au structure at the PBE level of DFT.

abc: 5.997 5.997 2.661
angles: 90.00 90.00 90.00
Fractional positions:
Ni1 0.861 0.361 0.500
H1 0.581 0.081 0.000
Ni2 0.139 0.639 0.500
Ni3 0.639 0.861 0.500
Au1 0.500 0.500 0.000
H2 0.419 0.919 0.000
H3 0.081 0.419 0.000
H4 0.919 0.581 0.000
Au2 0.000 0.000 0.000
Ni4 0.361 0.139 0.500

Properties
Space-group type: No. 127

Record 3
Computed, not measured: a geometry-optimized ScPtPb2 structure at the PBE level of DFT.

abc: 8.091 8.091 6.467
angles: 51.28 51.28 90.00
Fractional positions:
Pb1 0.875 0.912 0.750
Sc1 0.250 0.750 0.500
Sc2 0.500 0.500 0.000
Pb2 0.375 0.338 0.750
Pt1 0.000 0.000 0.000
Pb3 0.662 0.125 0.250
Pt2 0.750 0.250 0.500
Pb4 0.088 0.625 0.250

Properties
Space-group type: No. 122

In the order shown, the computed size of the total moment values come out to 0.000; 0.000; 0.000 μB/atom.
In the order shown, the computed total DFT energy (no corrections) values come out to -7.577; -3.999; -5.152 eV/atom.